Material: Th2InTc2
Method: DFT, GGA-PBE
State: optimized geometry

- E above lowest polymorph: 0.000 eV per formula unit
- E_tot: -78.485 eV for the cell shown
- ΔH_f (0 K): -0.9 eV per formula unit
- Total magnetic moment: 0.00 μB per cell

Cell lengths 3.841, 15.165, 4.149 Å; angles 90.00, 90.00, 90.00 degrees
Space group Cmmm (No. 65)
One atom of each set of equivalent atoms:
Th: 0.000 0.142 0.000 [4 per cell]
In: 0.000 0.500 0.500 [2 per cell]
Tc: 0.000 0.313 0.500 [4 per cell]